[1]
A relaxed structure of Pm12Ge6As. Source: Alexandria, functional PBE.

Cell lengths 8.5750, 8.5750, 8.5750 Å; angles 99.51, 99.51, 99.51 degrees
Closest atoms and distances in Å follow each position.
Positions (direct):
Pm (0.4370, 0.8146, 0.5775)  4 Ge 2.93-3.26
Pm (0.9486, 0.3276, 0.0719)  1 As 2.90, 2 Ge 2.91-2.97
Pm (0.0514, 0.6724, 0.9281)  1 As 2.90, 2 Ge 2.91-2.97
Pm (0.4225, 0.5630, 0.1854)  4 Ge 2.93-3.26
Pm (0.3276, 0.0719, 0.9486)  1 As 2.90, 2 Ge 2.91-2.97
Pm (0.1854, 0.4225, 0.5630)  4 Ge 2.93-3.26
Pm (0.5775, 0.4370, 0.8146)  4 Ge 2.93-3.26
Pm (0.5630, 0.1854, 0.4225)  4 Ge 2.93-3.26
Pm (0.8146, 0.5775, 0.4370)  4 Ge 2.93-3.26
Pm (0.0719, 0.9486, 0.3276)  1 As 2.90, 2 Ge 2.91-2.97
Pm (0.9281, 0.0514, 0.6724)  1 As 2.90, 2 Ge 2.91-2.97
Pm (0.6724, 0.9281, 0.0514)  1 As 2.90, 2 Ge 2.91-2.97
As (0.0000, 0.0000, 0.0000)  6 Pm 2.90
Ge (0.6977, 0.8713, 0.3860)  5 Pm 2.91-3.09
Ge (0.6140, 0.3023, 0.1287)  5 Pm 2.91-3.09
Ge (0.3023, 0.1287, 0.6140)  5 Pm 2.91-3.09
Ge (0.8713, 0.3860, 0.6977)  5 Pm 2.91-3.09
Ge (0.3860, 0.6977, 0.8713)  5 Pm 2.91-3.09
Ge (0.1287, 0.6140, 0.3023)  5 Pm 2.91-3.09

Calculated values
- Space-group type: R-3
- Energy: -100.9 eV/cell
- Energy relative to the elements: -0.6069 eV/atom

***

[2]
A relaxed structure of PmGeAs2. Source: Alexandria, functional PBE.

Cell lengths 5.0391, 5.0391, 5.0391 Å; angles 60.00, 60.00, 60.00 degrees
Closest atoms and distances in Å follow each position.
Positions (direct):
Pm (0.0000, 0.0000, 0.0000)  8 As 3.09
As (0.2500, 0.2500, 0.2500)  4 Ge 3.09, 4 Pm 3.09
As (0.7500, 0.7500, 0.7500)  4 Pm 3.09, 4 Ge 3.09
Ge (0.5000, 0.5000, 0.5000)  8 As 3.09

Calculated values
- Space-group type: Fm-3m
- Energy: -20.1 eV/cell
- Excess energy over the best structure of this formula in the dataset: 168 meV/atom
- Energy relative to the elements: -0.3533 eV/atom

***

[3]
A relaxed structure of PmGeAs2. Source: Alexandria, functional PBE.

Cell lengths 4.5444, 4.5444, 7.9372 Å; angles 73.37, 73.37, 60.00 degrees
Closest atoms and distances in Å follow each position.
Positions (direct):
Ge (0.0000, 0.0000, 0.0000)  2 As 2.33
Pm (0.5000, 0.5000, 0.5000)  6 As 2.98
As (0.8963, 0.8963, 0.3112)  1 Ge 2.33
As (0.1037, 0.1037, 0.6888)  1 Ge 2.33

Calculated values
- Space-group type: R-3m
- Energy: -19.3 eV/cell
- Excess energy over the best structure of this formula in the dataset: 373 meV/atom
- Energy relative to the elements: -0.1486 eV/atom

***

Question: Which of these has the highest energy?
Answer: number 3

***

Question: Number 2 is which compound?
Answer: PmGeAs2

***

Question: Look up the energy of the second one.
Answer: -20.1 eV/cell